First-principles (GGA-PBE) data for a relaxed Pr3Sm3Ge4 crystal, as listed in the Alexandria database.

Results
- Magnetic moment: 0.0 μB per formula unit
- E_tot: -5.417 eV per atom

abc: 4.2680 11.3553 11.0941
angles: 90.00 90.00 90.00
Closest atoms and distances in Å follow each position.
Space group Amm2 (No. 38)
Unique sites:
Pr 0.0000 0.0000 0.0000 x2  6 Ge 3.17-3.22
Pr 0.5000 0.2489 0.9230 x4  4 Ge 3.10-3.20
Sm 0.0000 0.0000 0.3456 x2  6 Ge 3.12-3.18
Sm 0.0000 0.1716 0.6712 x4  6 Ge 3.15-3.18
Ge 0.5000 0.0000 0.5509 x2  1 Ge 2.64
Ge 0.5000 0.0000 0.7885 x2  1 Ge 2.64
Ge 0.5000 0.1247 0.1754 x4  1 Ge 2.83, 2 Pr 3.10-3.14, 2 Sm 3.15

First-principles (GGA-PBE) data for a relaxed CdGaI4Br crystal, as listed in the Alexandria database.

Results
- Magnetic moment: 0.0 μB per formula unit
- Formation energy (no corrections): -0.56 eV per atom

abc: 16.4777 8.3635 11.2813
angles: 90.00 97.97 90.00
Closest atoms and distances in Å follow each position.
Space group C2/m (No. 12)
Unique sites:
Cd 0.0926 0.0000 0.1045 x4  2 Br 2.63-2.70, 2 I 2.85
Ga 0.1152 0.5000 0.2735 x4  4 I 2.50-2.71
I 0.0331 0.5000 0.8195 x4  1 Ga 2.52
I 0.1502 0.5000 0.4966 x4  1 Ga 2.50
I 0.1985 0.2596 0.1831 x8  1 Ga 2.71, 1 Cd 2.85
Br 0.0624 0.0000 0.8629 x4  2 Cd 2.63-2.70

First-principles (GGA-PBE) data for a relaxed KMg3Pt crystal, as listed in the Alexandria database.

Results
- Energy relative to the lowest polymorph listed for this composition: 1846 meV per atom
- Magnetic moment: 0.0 μB per formula unit

abc: 5.5856 5.5856 5.5856
angles: 90.00 90.00 90.00
Closest atoms and distances in Å follow each position.
Space group Pm-3m (No. 221)
Unique sites:
K 0.0000 0.0000 0.0000 x1  6 Mg 2.79
Mg 0.0000 0.0000 0.5000 x3  2 K 2.79
Pt 0.5000 0.5000 0.5000 x1  12 Mg 3.95

First-principles (GGA-PBE) data for a relaxed CaHgSbI2 crystal, as listed in the Alexandria database.

Results
- Energy relative to the lowest polymorph listed for this composition: 232 meV per atom
- Magnetic moment: 0.7 μB per formula unit
- Formation energy (no corrections): -0.06 eV per atom

abc: 5.9014 5.9014 5.6837
angles: 90.00 90.00 90.00
Closest atoms and distances in Å follow each position.
Space group P4/mmm (No. 123)
Unique sites:
Ca 0.0000 0.0000 0.0000 x1  8 I 4.10, 4 Sb 4.17
Hg 0.5000 0.5000 0.5000 x1  2 Sb 2.84, 4 I 2.95
Sb 0.5000 0.5000 0.0000 x1  2 Hg 2.84
I 0.0000 0.5000 0.5000 x2  2 Hg 2.95

First-principles (GGA-PBE) data for a relaxed KPdBr crystal, as listed in the Alexandria database.

Results
- Energy relative to the lowest polymorph listed for this composition: 122 meV per atom
- Magnetic moment: 0.0 μB per formula unit
- Formation energy (no corrections): -0.59 eV per atom

abc: 4.5490 4.5490 4.5598
angles: 90.00 90.00 120.00
Closest atoms and distances in Å follow each position.
Space group P-6m2 (No. 187)
Unique sites:
K 0.0000 0.0000 0.0000 x1  6 Br 3.48, 6 Pd 3.48
Pd 0.6667 0.3333 0.5000 x1  3 Br 2.63
Br 0.3333 0.6667 0.5000 x1  3 Pd 2.63

First-principles (GGA-PBE) data for a relaxed CaTa2Cr crystal, as listed in the Alexandria database.

Results
- Energy relative to the lowest polymorph listed for this composition: 215 meV per atom
- Magnetic moment: 1.1 μB per formula unit

abc: 3.1127 3.1127 28.2916
angles: 90.00 90.00 120.00
Closest atoms and distances in Å follow each position.
Space group R3m (No. 160, hexagonal axes)
Unique sites:
Ca 0.0000 0.0000 0.0000 x3  3 Cr 3.11, 6 Ca 3.11, 3 Ta 3.37
Ta 0.0000 0.0000 0.2326 x3  9 Ta 2.87-3.11
Ta 0.0000 0.0000 0.4866 x3  3 Cr 2.54
Cr 0.0000 0.0000 0.7565 x3  3 Ta 2.54

Q: Which value of magnetic moment does entry 1 give?
A: 0.0 μB per formula unit